Compound: Tb3ZnRh2
Source: Alexandria
Functional: PBE
Structure: relaxed

Values from the calculation:
Symmetry   Pnma (62)

Unit cell a=3.979 b=11.621 c=11.749 alpha=90.00 beta=90.00 gamma=90.00
Element x y z (fractional)
Tb 0.750 0.325 0.797
Tb 0.750 0.875 0.449
Tb 0.250 0.825 0.703
Tb 0.250 0.078 0.868
Tb 0.750 0.175 0.297
Tb 0.750 0.922 0.132
Tb 0.750 0.625 0.949
Tb 0.250 0.375 0.051
Tb 0.250 0.675 0.203
Tb 0.250 0.125 0.551
Tb 0.750 0.578 0.632
Tb 0.250 0.422 0.368
Rh 0.750 0.503 0.186
Rh 0.750 0.305 0.505
Rh 0.250 0.497 0.814
Rh 0.750 0.997 0.686
Rh 0.250 0.695 0.495
Rh 0.250 0.003 0.314
Rh 0.250 0.805 0.995
Rh 0.750 0.195 0.005
Zn 0.750 0.619 0.380
Zn 0.750 0.881 0.880
Zn 0.250 0.119 0.120
Zn 0.250 0.381 0.620

Compound: CdAs
Source: Alexandria
Functional: PBE
Structure: relaxed

Values from the calculation:
Symmetry   Pbca (61)

Unit cell a=6.095 b=7.947 c=8.174 alpha=90.00 beta=90.00 gamma=90.00
Element x y z (fractional)
Cd 0.953 0.369 0.138
Cd 0.047 0.869 0.362
Cd 0.047 0.631 0.862
Cd 0.547 0.869 0.138
Cd 0.453 0.369 0.362
Cd 0.953 0.131 0.638
Cd 0.453 0.131 0.862
Cd 0.547 0.631 0.638
As 0.133 0.435 0.596
As 0.633 0.065 0.404
As 0.133 0.065 0.096
As 0.367 0.935 0.596
As 0.633 0.435 0.904
As 0.367 0.565 0.096
As 0.867 0.935 0.904
As 0.867 0.565 0.404

Compound: KBaBe2Re
Source: Alexandria
Functional: PBE
Structure: relaxed

Values from the calculation:
Symmetry   P4/mmm (123)

Unit cell a=5.317 b=5.617 c=5.317 alpha=90.00 beta=90.00 gamma=90.00
Element x y z (fractional)
Re 0.000 0.500 0.000
Be 0.000 0.000 0.500
Be 0.500 0.000 0.000
Ba 0.500 0.500 0.500
K 0.000 0.000 0.000

Compound: AcPu2O7
Source: Alexandria
Functional: PBE
Structure: relaxed

Values from the calculation:
Energy relative to the elements, uncorrected   -2763 meV/atom
Symmetry   R-3m (166)

Unit cell a=3.910 b=3.910 c=10.844 alpha=79.61 beta=79.61 gamma=60.00
Element x y z (fractional)
O 0.417 0.417 0.749
O 0.000 0.000 0.000
O 0.132 0.132 0.603
O 0.868 0.868 0.397
O 0.280 0.280 0.159
O 0.720 0.720 0.841
O 0.583 0.583 0.251
Ac 0.500 0.500 0.500
Pu 0.935 0.935 0.194
Pu 0.065 0.065 0.806

Compound: Si2Pd2Au
Source: Alexandria
Functional: PBE
Structure: relaxed

Values from the calculation:
Energy relative to the elements, uncorrected   -253 meV/atom
Symmetry   P4/mbm (127)

Unit cell a=6.954 b=6.954 c=3.183 alpha=90.00 beta=90.00 gamma=90.00
Element x y z (fractional)
Au 0.000 0.000 0.000
Au 0.500 0.500 0.000
Pd 0.644 0.856 0.500
Pd 0.356 0.144 0.500
Pd 0.856 0.356 0.500
Pd 0.144 0.644 0.500
Si 0.148 0.352 0.000
Si 0.852 0.648 0.000
Si 0.352 0.852 0.000
Si 0.648 0.148 0.000

Compound: HgPb2Cl
Source: Alexandria
Functional: PBE
Structure: relaxed

Values from the calculation:
Energy relative to the elements, uncorrected   -248 meV/atom
Symmetry   P4/mmm (123)

Unit cell a=3.605 b=3.605 c=8.508 alpha=90.00 beta=90.00 gamma=90.00
Element x y z (fractional)
Cl 0.500 0.500 0.250
Hg 0.500 0.500 0.750
Pb 0.000 0.000 0.509
Pb 0.000 0.000 0.991

Compound: SrSbSCl2
Source: Alexandria
Functional: PBE
Structure: relaxed

Values from the calculation:
Energy relative to the elements, uncorrected   -623 meV/atom
Symmetry   P4/mmm (123)

Unit cell a=5.381 b=5.381 c=5.963 alpha=90.00 beta=90.00 gamma=90.00
Element x y z (fractional)
S 0.000 0.000 0.500
Cl 0.500 0.000 0.000
Cl 0.000 0.500 0.000
Sb 0.500 0.500 0.500
Sr 0.000 0.000 0.000

Compound: LaBiAsBr2
Source: Alexandria
Functional: PBE
Structure: relaxed

Values from the calculation:
Energy relative to the elements, uncorrected   -203 meV/atom
Symmetry   P4/mmm (123)

Unit cell a=5.574 b=5.574 c=5.744 alpha=90.00 beta=90.00 gamma=90.00
Element x y z (fractional)
Bi 0.000 0.000 0.000
Br 0.500 0.000 0.000
Br 0.000 0.500 0.000
La 0.500 0.500 0.500
As 0.000 0.000 0.500

no.,V (Å³/cell),energy (eV for the cell shown)
1,543,-135.45
2,396,-45.82
3,159,-11.71
4,140,-95.11
5,154,-51.55
6,111,-10.56
7,173,-16.74
8,178,-17.82